(1)
DFT (PBE) results for a relaxed HoPuZr2 crystal.

Geometry as CIF:
```
data_HoPuZr2
_chemical_formula_sum 'Ho1 Pu1 Zr2'
_cell_length_a 3.800
_cell_length_b 3.800
_cell_length_c 7.013
_cell_angle_alpha 90.00
_cell_angle_beta 90.00
_cell_angle_gamma 90.00
_symmetry_space_group_name_H-M 'P 4/m m m'
_symmetry_Int_Tables_number 123
_symmetry_space_group_name_Hall '-P 4 2'
loop_
_atom_site_label
_atom_site_type_symbol
_atom_site_fract_x
_atom_site_fract_y
_atom_site_fract_z
Ho1 Ho 0.000 0.000 0.000
Pu1 Pu 0.000 0.000 0.500
Zr1 Zr 0.500 0.500 0.284
```

N(E_F) = 8.91 states/eV/cell
ΔH_f (0 K) = 0.172 eV/atom



(2)
DFT (PBE) results for a relaxed Y2AgAu crystal.

Geometry as CIF:
```
data_Y2AgAu
_chemical_formula_sum 'Y6 Ag3 Au3'
_cell_length_a 3.6163
_cell_length_b 3.6163
_cell_length_c 27.9407
_cell_angle_alpha 90.00
_cell_angle_beta 90.00
_cell_angle_gamma 120.00
_symmetry_space_group_name_H-M 'R 3 m'
_symmetry_Int_Tables_number 160
_symmetry_space_group_name_Hall 'R 3 -2"'
loop_
_atom_site_label
_atom_site_type_symbol
_atom_site_fract_x
_atom_site_fract_y
_atom_site_fract_z
Y1 Y 0.0000 0.0000 0.0000
Y2 Y 0.0000 0.0000 0.2279
Ag1 Ag 0.0000 0.0000 0.4798
Au1 Au 0.0000 0.0000 0.7410
```

N(E_F) = 9.67 states/eV/cell
ΔH_f (0 K) = -0.160 eV/atom



(3)
DFT (PBE) results for a relaxed Ce5Pt crystal.

Geometry as CIF:
```
data_Ce5Pt
_chemical_formula_sum 'Ce10 Pt2'
_cell_length_a 4.260
_cell_length_b 15.815
_cell_length_c 4.252
_cell_angle_alpha 90.00
_cell_angle_beta 90.00
_cell_angle_gamma 90.00
_symmetry_space_group_name_H-M 'C m m m'
_symmetry_Int_Tables_number 65
_symmetry_space_group_name_Hall '-C 2 2'
loop_
_atom_site_label
_atom_site_type_symbol
_atom_site_fract_x
_atom_site_fract_y
_atom_site_fract_z
Ce1 Ce 0.000 0.000 0.000
Ce2 Ce 0.000 0.171 0.500
Ce3 Ce 0.000 0.335 0.000
Pt1 Pt 0.000 0.500 0.500
```

N(E_F) = 32.47 states/eV/cell
ΔH_f (0 K) = -0.250 eV/atom



(4)
DFT (PBE) results for a relaxed Ce2YGa2Au2 crystal.

Geometry as CIF:
```
data_Ce2YGa2Au2
_chemical_formula_sum 'Ce6 Y3 Ga6 Au6'
_cell_length_a 4.4701
_cell_length_b 4.4701
_cell_length_c 26.8582
_cell_angle_alpha 90.00
_cell_angle_beta 90.00
_cell_angle_gamma 120.00
_symmetry_space_group_name_H-M 'R -3 m'
_symmetry_Int_Tables_number 166
_symmetry_space_group_name_Hall '-R 3 2"'
loop_
_atom_site_label
_atom_site_type_symbol
_atom_site_fract_x
_atom_site_fract_y
_atom_site_fract_z
Ce1 Ce 0.0000 0.0000 0.1394
Y1 Y 0.0000 0.0000 0.0000
Ga1 Ga 0.0000 0.0000 0.2607
Au1 Au 0.0000 0.0000 0.4007
```

N(E_F) = 27.54 states/eV/cell
ΔH_f (0 K) = -0.623 eV/atom



(5)
DFT (PBE) results for a relaxed Li2ZnSb2 crystal.

Geometry as CIF:
```
data_Li2ZnSb2
_chemical_formula_sum 'Li4 Zn2 Sb4'
_cell_length_a 8.165
_cell_length_b 8.165
_cell_length_c 3.126
_cell_angle_alpha 90.00
_cell_angle_beta 90.00
_cell_angle_gamma 90.00
_symmetry_space_group_name_H-M 'P 4/m b m'
_symmetry_Int_Tables_number 127
_symmetry_space_group_name_Hall '-P 4 2ab'
loop_
_atom_site_label
_atom_site_type_symbol
_atom_site_fract_x
_atom_site_fract_y
_atom_site_fract_z
Li1 Li 0.116 0.384 0.000
Zn1 Zn 0.000 0.000 0.000
Sb1 Sb 0.185 0.685 0.500
```

N(E_F) = 4.20 states/eV/cell
Energy relative to the elements, uncorrected = -0.1493 eV/atom



(6)
DFT (PBE) results for a relaxed ZrCuSnIr crystal.

Geometry as CIF:
```
data_ZrCuSnIr
_chemical_formula_sum 'Zr4 Cu4 Sn4 Ir4'
_cell_length_a 6.521
_cell_length_b 6.521
_cell_length_c 6.521
_cell_angle_alpha 90.00
_cell_angle_beta 90.00
_cell_angle_gamma 90.00
_symmetry_space_group_name_H-M 'F -4 3 m'
_symmetry_Int_Tables_number 216
_symmetry_space_group_name_Hall 'F -4 2 3'
loop_
_atom_site_label
_atom_site_type_symbol
_atom_site_fract_x
_atom_site_fract_y
_atom_site_fract_z
Zr1 Zr 0.000 0.000 0.000
Cu1 Cu 0.250 0.250 0.250
Sn1 Sn 0.000 0.000 0.500
Ir1 Ir 0.250 0.250 0.750
```

N(E_F) = 4.11 states/eV/cell
ΔH_f (0 K) = -0.474 eV/atom



(7)
DFT (PBE) results for a relaxed LaZrW2 crystal.

Geometry as CIF:
```
data_LaZrW2
_chemical_formula_sum 'La2 Zr2 W4'
_cell_length_a 5.888
_cell_length_b 9.904
_cell_length_c 2.936
_cell_angle_alpha 90.00
_cell_angle_beta 109.98
_cell_angle_gamma 90.00
_symmetry_space_group_name_H-M 'C 1 2/m 1'
_symmetry_Int_Tables_number 12
loop_
_symmetry_equiv_pos_as_xyz
'x,y,z'
'-x,-y,-z'
'-x,y,-z'
'x,-y,z'
'x+1/2,y+1/2,z'
'-x+1/2,-y+1/2,-z'
'-x+1/2,y+1/2,-z'
'x+1/2,-y+1/2,z'
loop_
_atom_site_label
_atom_site_type_symbol
_atom_site_fract_x
_atom_site_fract_y
_atom_site_fract_z
La1 La 0.000 0.000 0.000
Zr1 Zr 0.000 0.500 0.000
W1 W 0.250 0.250 0.500
```

N(E_F) = 10.76 states/eV/cell
ΔH_f (0 K) = 0.659 eV/atom



(8)
DFT (PBE) results for a relaxed Zr21Re25 crystal.

Geometry as CIF:
```
data_Zr21Re25
_chemical_formula_sum 'Zr126 Re150'
_cell_length_a 25.9312
_cell_length_b 25.9312
_cell_length_c 8.7949
_cell_angle_alpha 90.00
_cell_angle_beta 90.00
_cell_angle_gamma 120.00
_symmetry_space_group_name_H-M 'R -3 c'
_symmetry_Int_Tables_number 167
_symmetry_space_group_name_Hall '-R 3 2"c'
loop_
_atom_site_label
_atom_site_type_symbol
_atom_site_fract_x
_atom_site_fract_y
_atom_site_fract_z
Zr1 Zr 0.9996 0.1153 0.0650
Zr2 Zr 0.0000 0.3045 0.2500
Zr3 Zr 0.0024 0.2306 0.5451
Zr4 Zr 0.0198 0.4627 0.4185
Re1 Re 0.0000 0.0000 0.0000
Re2 Re 0.0000 0.0609 0.7500
Re3 Re 0.0000 0.4447 0.7500
Re4 Re 0.0581 0.1775 0.7481
Re5 Re 0.0587 0.2341 0.2525
Re6 Re 0.0983 0.5476 0.6660
```

N(E_F) = 193.02 states/eV/cell
ΔH_f (0 K) = -0.346 eV/atom



- Among the records above, which one has the highest N(E_F)?
  Zr21Re25